Record 1
Material: Sm8Tm
Method: DFT, PBE-GGA
State: relaxed

a = 8.0775 Å, b = 8.0775 Å, c = 8.0775 Å
α = 95.73°, β = 95.73°, γ = 143.17°
Fractional coordinates of all 9 atoms:
Sm: 0.0000 0.3325 0.3325
Sm: 0.0000 0.6675 0.6675
Sm: 0.3325 0.0000 0.3325
Sm: 0.3341 0.3341 0.6682
Sm: 0.3341 0.6659 0.0000
Sm: 0.6659 0.3341 0.0000
Sm: 0.6659 0.6659 0.3318
Sm: 0.6675 0.0000 0.6675
Tm: 0.0000 0.0000 0.0000

Calculated values
Density of states at the Fermi level   13.15 states/eV/cell
Symmetry   I4/mmm
ΔE_f   14 kJ/mol of formula units
Raw total energy   -0.1718 hartree per atom


Record 2
Material: Sm5Tm6
Method: DFT, PBE-GGA
State: relaxed

a = 9.3742 Å, b = 9.3742 Å, c = 9.3742 Å
α = 145.71°, β = 129.07°, γ = 62.84°
Fractional coordinates of all 11 atoms:
Sm: 0.0000 0.0000 0.0000
Sm: 0.1624 0.6624 0.5000
Sm: 0.3013 0.3013 0.0000
Sm: 0.6987 0.6987 0.0000
Sm: 0.8376 0.3376 0.5000
Tm: 0.1568 0.8628 0.2940
Tm: 0.2937 0.5000 0.7937
Tm: 0.4312 0.1372 0.2940
Tm: 0.5688 0.8628 0.7060
Tm: 0.7063 0.5000 0.2063
Tm: 0.8432 0.1372 0.7060

Calculated values
Density of states at the Fermi level   15.00 states/eV/cell
Symmetry   Immm
ΔE_f   124 kJ/mol of formula units
Raw total energy   -0.1642 hartree per atom


Record 3
Material: SmTmV
Method: DFT, PBE-GGA
State: relaxed

a = 3.5074 Å, b = 5.2631 Å, c = 8.5001 Å
α = 106.94°, β = 90.52°, γ = 90.10°
Fractional coordinates of all 6 atoms:
Sm: 0.2465 0.2127 0.4217
Sm: 0.7535 0.7873 0.5783
Tm: 0.2529 0.5939 0.1651
Tm: 0.7471 0.4061 0.8349
V: 0.2526 0.9339 0.9061
V: 0.7474 0.0661 0.0939

Calculated values
Density of states at the Fermi level   7.66 states/eV/cell
Symmetry   P-1
ΔE_f   70 kJ/mol of formula units
Raw total energy   -0.2154 hartree per atom


Record 4
Material: SmTmW
Method: DFT, PBE-GGA
State: relaxed

a = 3.3394 Å, b = 3.3394 Å, c = 13.7611 Å
α = 90.00°, β = 90.00°, γ = 90.00°
Fractional coordinates of all 6 atoms:
Sm: 0.2500 0.2500 0.0997
Sm: 0.7500 0.7500 0.9003
Tm: 0.2500 0.2500 0.6898
Tm: 0.7500 0.7500 0.3102
W: 0.2500 0.2500 0.4519
W: 0.7500 0.7500 0.5481

Calculated values
Density of states at the Fermi level   7.34 states/eV/cell
Symmetry   P4/nmm
ΔE_f   50 kJ/mol of formula units
Raw total energy   -0.2649 hartree per atom


Record 5
Material: Sm5Y2Tm2
Method: DFT, PBE-GGA
State: relaxed

a = 10.0986 Å, b = 10.0986 Å, c = 10.0986 Å
α = 84.98°, β = 108.01°, γ = 141.10°
Fractional coordinates of all 18 atoms:
Sm: 0.2368 0.0498 0.2867
Sm: 0.2368 0.4502 0.6870
Sm: 0.4023 0.0296 0.0843
Sm: 0.4023 0.8179 0.8727
Sm: 0.4540 0.4402 0.5137
Sm: 0.7632 0.5498 0.3130
Sm: 0.7632 0.9502 0.7133
Sm: 0.9265 0.9402 0.4863
Sm: 0.9452 0.3179 0.9157
Sm: 0.9452 0.5296 0.1273
Y: 0.8263 0.2068 0.3637
Y: 0.8263 0.9627 0.1196
Y: 0.8431 0.4627 0.6363
Y: 0.8431 0.7068 0.8804
Tm: 0.3363 0.3363 0.0000
Tm: 0.3363 0.8363 0.5000
Tm: 0.3767 0.6285 0.2483
Tm: 0.3802 0.1285 0.7517

Calculated values
Energy above the lowest structure with this stoichiometry   114.3 meV per atom
Density of states at the Fermi level   26.36 states/eV/cell
Symmetry   Ima2
ΔE_f   194 kJ/mol of formula units
Raw total energy   -0.1774 hartree per atom


Record 6
Material: Sm4Y19Tm6
Method: DFT, PBE-GGA
State: relaxed

a = 10.8212 Å, b = 10.8212 Å, c = 10.8212 Å
α = 109.47°, β = 109.47°, γ = 109.47°
Fractional coordinates of all 29 atoms:
Sm: 0.0000 0.0000 0.3580
Sm: 0.0000 0.3580 0.0000
Sm: 0.3580 0.0000 0.0000
Sm: 0.6420 0.6420 0.6420
Y: 0.0000 0.0000 0.0000
Y: 0.0000 0.2638 0.2638
Y: 0.0000 0.7362 0.7362
Y: 0.0101 0.2166 0.6704
Y: 0.2065 0.9899 0.6603
Y: 0.2166 0.6704 0.0101
Y: 0.2638 0.0000 0.2638
Y: 0.2638 0.2638 0.0000
Y: 0.3296 0.5462 0.3397
Y: 0.3397 0.3296 0.5462
Y: 0.4538 0.7834 0.7935
Y: 0.5462 0.3397 0.3296
Y: 0.6603 0.2065 0.9899
Y: 0.6704 0.0101 0.2166
Y: 0.7362 0.0000 0.7362
Y: 0.7362 0.7362 0.0000
Y: 0.7834 0.7935 0.4538
Y: 0.7935 0.4538 0.7834
Y: 0.9899 0.6603 0.2065
Tm: 0.1243 0.5000 0.6243
Tm: 0.3757 0.8757 0.5000
Tm: 0.5000 0.3757 0.8757
Tm: 0.5000 0.6243 0.1243
Tm: 0.6243 0.1243 0.5000
Tm: 0.8757 0.5000 0.3757

Calculated values
Density of states at the Fermi level   44.28 states/eV/cell
Symmetry   I23
ΔE_f   1089 kJ/mol of formula units
Raw total energy   -0.1993 hartree per atom


Record 7
Material: Sm7YTm4
Method: DFT, PBE-GGA
State: relaxed

a = 6.2562 Å, b = 7.2164 Å, c = 8.8861 Å
α = 90.02°, β = 103.66°, γ = 90.05°
Fractional coordinates of all 12 atoms:
Sm: 0.0000 0.0000 0.0000
Sm: 0.2223 0.5002 0.6650
Sm: 0.2807 0.7513 0.3362
Sm: 0.4993 0.2463 0.0015
Sm: 0.5007 0.7537 0.9985
Sm: 0.7193 0.2487 0.6638
Sm: 0.7777 0.4998 0.3350
Y: 0.0000 0.5000 0.0000
Tm: 0.2192 0.0002 0.6648
Tm: 0.2779 0.2473 0.3341
Tm: 0.7221 0.7527 0.6659
Tm: 0.7808 0.9998 0.3352

Calculated values
Energy above the lowest structure with this stoichiometry   0.0 meV per atom
Density of states at the Fermi level   15.87 states/eV/cell
Symmetry   P-1
ΔE_f   3 kJ/mol of formula units
Raw total energy   -0.1756 hartree per atom


Record 8
Material: Sm2Y8Tm3
Method: DFT, PBE-GGA
State: relaxed

a = 10.9489 Å, b = 10.9489 Å, c = 5.5935 Å
α = 90.02°, β = 90.02°, γ = 40.56°
Fractional coordinates of all 13 atoms:
Sm: 0.2410 0.2410 0.4994
Sm: 0.7590 0.7590 0.5006
Y: 0.1310 0.1310 0.9998
Y: 0.1813 0.6069 0.4999
Y: 0.3348 0.3348 0.9996
Y: 0.3931 0.8187 0.5001
Y: 0.6069 0.1813 0.4999
Y: 0.6652 0.6652 0.0004
Y: 0.8187 0.3931 0.5001
Y: 0.8690 0.8690 0.0002
Tm: 0.0000 0.0000 0.5000
Tm: 0.2825 0.7175 0.0000
Tm: 0.7175 0.2825 0.0000

Calculated values
Density of states at the Fermi level   24.19 states/eV/cell
Symmetry   C2/m
ΔE_f   302 kJ/mol of formula units
Raw total energy   -0.2019 hartree per atom


Record 9
Material: SmY8Tm5
Method: DFT, PBE-GGA
State: relaxed

a = 8.4218 Å, b = 8.4218 Å, c = 8.4218 Å
α = 111.36°, β = 111.36°, γ = 105.76°
Fractional coordinates of all 14 atoms:
Sm: 0.0000 0.0000 0.0000
Y: 0.0837 0.6699 0.7596
Y: 0.1707 0.2774 0.7510
Y: 0.3301 0.0897 0.4138
Y: 0.5264 0.4196 0.2490
Y: 0.5804 0.8293 0.1068
Y: 0.6759 0.9163 0.5862
Y: 0.7226 0.4736 0.8932
Y: 0.9103 0.3241 0.2404
Tm: 0.2120 0.6135 0.1794
Tm: 0.3865 0.5659 0.5985
Tm: 0.4341 0.0326 0.8206
Tm: 0.7500 0.2500 0.5000
Tm: 0.9674 0.7880 0.4015

Calculated values
Density of states at the Fermi level   22.67 states/eV/cell
Symmetry   I-4
ΔE_f   338 kJ/mol of formula units
Raw total energy   -0.1976 hartree per atom


Record 10
Material: Sm3Y5Tm4
Method: DFT, PBE-GGA
State: relaxed

a = 8.5409 Å, b = 8.5409 Å, c = 9.2331 Å
α = 114.57°, β = 114.57°, γ = 40.24°
Fractional coordinates of all 12 atoms:
Sm: 0.0000 0.0000 0.0000
Sm: 0.2926 0.2926 0.7724
Sm: 0.7074 0.7074 0.2276
Y: 0.0751 0.0751 0.7000
Y: 0.1730 0.1730 0.3881
Y: 0.5000 0.5000 0.0000
Y: 0.8270 0.8270 0.6119
Y: 0.9249 0.9249 0.3000
Tm: 0.2889 0.2889 0.1237
Tm: 0.4193 0.4193 0.5595
Tm: 0.5807 0.5807 0.4405
Tm: 0.7111 0.7111 0.8763

Calculated values
Energy above the lowest structure with this stoichiometry   221.5 meV per atom
Density of states at the Fermi level   19.48 states/eV/cell
Symmetry   C2/m
ΔE_f   283 kJ/mol of formula units
Raw total energy   -0.1881 hartree per atom


Record 11
Material: Sm2Y5Tm4
Method: DFT, PBE-GGA
State: relaxed

a = 8.9084 Å, b = 8.9084 Å, c = 6.6198 Å
α = 99.36°, β = 99.36°, γ = 43.82°
Fractional coordinates of all 11 atoms:
Sm: 0.2040 0.2040 0.2998
Sm: 0.7960 0.7960 0.7002
Y: 0.0000 0.0000 0.5000
Y: 0.1734 0.6472 0.0905
Y: 0.3528 0.8266 0.9095
Y: 0.6472 0.1734 0.0905
Y: 0.8266 0.3528 0.9095
Tm: 0.2435 0.2435 0.8056
Tm: 0.4124 0.4124 0.5951
Tm: 0.5876 0.5876 0.4049
Tm: 0.7565 0.7565 0.1944

Calculated values
Energy above the lowest structure with this stoichiometry   75.8 meV per atom
Density of states at the Fermi level   18.45 states/eV/cell
Symmetry   C2/m
ΔE_f   184 kJ/mol of formula units
Raw total energy   -0.1929 hartree per atom


Record 12
Material: Sm2Y5Tm12
Method: DFT, PBE-GGA
State: relaxed

a = 6.1064 Å, b = 9.3330 Å, c = 10.5696 Å
α = 100.99°, β = 95.57°, γ = 90.08°
Fractional coordinates of all 19 atoms:
Sm: 0.0806 0.3165 0.4731
Sm: 0.9194 0.6835 0.5269
Y: 0.2370 0.9470 0.4199
Y: 0.3407 0.3689 0.0527
Y: 0.5000 0.0000 0.0000
Y: 0.6593 0.6311 0.9473
Y: 0.7630 0.0530 0.5801
Tm: 0.0244 0.1045 0.1571
Tm: 0.1318 0.5262 0.7895
Tm: 0.1827 0.7367 0.1043
Tm: 0.2904 0.1591 0.7380
Tm: 0.3953 0.5793 0.3679
Tm: 0.4463 0.7896 0.6847
Tm: 0.5537 0.2104 0.3153
Tm: 0.6047 0.4207 0.6321
Tm: 0.7096 0.8409 0.2620
Tm: 0.8173 0.2633 0.8957
Tm: 0.8682 0.4738 0.2105
Tm: 0.9756 0.8955 0.8429

Calculated values
Energy above the lowest structure with this stoichiometry   0.0 meV per atom
Density of states at the Fermi level   27.11 states/eV/cell
Symmetry   P-1
ΔE_f   50 kJ/mol of formula units
Raw total energy   -0.1835 hartree per atom


Record 13
Material: Sm5Y4Tm
Method: DFT, PBE-GGA
State: relaxed

a = 14.2644 Å, b = 14.2644 Å, c = 6.8089 Å
α = 97.05°, β = 97.05°, γ = 14.10°
Fractional coordinates of all 10 atoms:
Sm: 0.0000 0.0000 0.0000
Sm: 0.2933 0.2933 0.3934
Sm: 0.2997 0.2997 0.9004
Sm: 0.7003 0.7003 0.0996
Sm: 0.7067 0.7067 0.6066
Y: 0.1079 0.1079 0.3140
Y: 0.4068 0.4068 0.2071
Y: 0.5932 0.5932 0.7929
Y: 0.8921 0.8921 0.6860
Tm: 0.0000 0.0000 0.5000

Calculated values
Energy above the lowest structure with this stoichiometry   0.0 meV per atom
Density of states at the Fermi level   18.50 states/eV/cell
Symmetry   C2/m
ΔE_f   146 kJ/mol of formula units
Raw total energy   -0.1926 hartree per atom


Record 14
Material: Sm6YTm5
Method: DFT, PBE-GGA
State: relaxed

a = 8.0008 Å, b = 8.0008 Å, c = 10.0096 Å
α = 90.00°, β = 90.00°, γ = 143.15°
Fractional coordinates of all 12 atoms:
Sm: 0.0000 0.0000 0.2486
Sm: 0.0000 0.0000 0.7514
Sm: 0.3330 0.6670 0.2491
Sm: 0.3330 0.6670 0.7509
Sm: 0.6670 0.3330 0.2491
Sm: 0.6670 0.3330 0.7509
Y: 0.5000 0.5000 0.5000
Tm: 0.1666 0.8334 0.0000
Tm: 0.1675 0.8325 0.5000
Tm: 0.5000 0.5000 0.0000
Tm: 0.8334 0.1666 0.0000
Tm: 0.8325 0.1675 0.5000

Calculated values
Density of states at the Fermi level   19.02 states/eV/cell
Symmetry   Cmmm
ΔE_f   27 kJ/mol of formula units
Raw total energy   -0.1741 hartree per atom


Record 15
Material: Sm4Y2Tm3
Method: DFT, PBE-GGA
State: relaxed

a = 9.9766 Å, b = 9.9766 Å, c = 6.1602 Å
α = 94.82°, β = 94.82°, γ = 71.48°
Fractional coordinates of all 18 atoms:
Sm: 0.0951 0.8118 0.9868
Sm: 0.1410 0.4320 0.1553
Sm: 0.1882 0.9049 0.5132
Sm: 0.4320 0.1410 0.6553
Sm: 0.5680 0.8590 0.3447
Sm: 0.8118 0.0951 0.4868
Sm: 0.8590 0.5680 0.8447
Sm: 0.9049 0.1882 0.0132
Y: 0.2431 0.5188 0.6819
Y: 0.4812 0.7569 0.8181
Y: 0.5188 0.2431 0.1819
Y: 0.7569 0.4812 0.3181
Tm: 0.0704 0.2642 0.5780
Tm: 0.2642 0.0704 0.0780
Tm: 0.4004 0.5996 0.2500
Tm: 0.5996 0.4004 0.7500
Tm: 0.7358 0.9296 0.9220
Tm: 0.9296 0.7358 0.4220

Calculated values
Energy above the lowest structure with this stoichiometry   45.1 meV per atom
Density of states at the Fermi level   24.57 states/eV/cell
Symmetry   C2/c
ΔE_f   78 kJ/mol of formula units
Raw total energy   -0.1813 hartree per atom


Record 16
Material: Sm12YTm7
Method: DFT, PBE-GGA
State: relaxed

a = 8.7606 Å, b = 8.7606 Å, c = 8.7606 Å
α = 94.48°, β = 94.48°, γ = 94.48°
Fractional coordinates of all 20 atoms:
Sm: 0.1446 0.4095 0.4729
Sm: 0.1863 0.7509 0.3188
Sm: 0.2491 0.6812 0.8137
Sm: 0.3188 0.1863 0.7509
Sm: 0.4095 0.4729 0.1446
Sm: 0.4729 0.1446 0.4095
Sm: 0.5271 0.8554 0.5905
Sm: 0.5905 0.5271 0.8554
Sm: 0.6812 0.8137 0.2491
Sm: 0.7509 0.3188 0.1863
Sm: 0.8137 0.2491 0.6812
Sm: 0.8554 0.5905 0.5271
Y: 0.0000 0.0000 0.0000
Tm: 0.0144 0.0792 0.3467
Tm: 0.0792 0.3467 0.0144
Tm: 0.3467 0.0144 0.0792
Tm: 0.5000 0.5000 0.5000
Tm: 0.6533 0.9856 0.9208
Tm: 0.9208 0.6533 0.9856
Tm: 0.9856 0.9208 0.6533

Calculated values
Energy above the lowest structure with this stoichiometry   30.9 meV per atom
Density of states at the Fermi level   21.52 states/eV/cell
Symmetry   R-3
ΔE_f   560 kJ/mol of formula units
Raw total energy   -0.1628 hartree per atom


Record 17
Material: SmY15Tm4
Method: DFT, PBE-GGA
State: relaxed

a = 5.0296 Å, b = 5.0296 Å, c = 25.1722 Å
α = 90.00°, β = 90.00°, γ = 90.00°
Fractional coordinates of all 20 atoms:
Sm: 0.0000 0.0000 0.0000
Y: 0.0000 0.5000 0.1013
Y: 0.0000 0.5000 0.3006
Y: 0.0000 0.5000 0.5000
Y: 0.0000 0.5000 0.6994
Y: 0.0000 0.5000 0.8987
Y: 0.5000 0.0000 0.1013
Y: 0.5000 0.0000 0.3006
Y: 0.5000 0.0000 0.5000
Y: 0.5000 0.0000 0.6994
Y: 0.5000 0.0000 0.8987
Y: 0.5000 0.5000 0.0000
Y: 0.5000 0.5000 0.2013
Y: 0.5000 0.5000 0.4003
Y: 0.5000 0.5000 0.5997
Y: 0.5000 0.5000 0.7987
Tm: 0.0000 0.0000 0.2009
Tm: 0.0000 0.0000 0.4003
Tm: 0.0000 0.0000 0.5997
Tm: 0.0000 0.0000 0.7991

Calculated values
Density of states at the Fermi level   29.00 states/eV/cell
Symmetry   P4/mmm
ΔE_f   50 kJ/mol of formula units
Raw total energy   -0.2187 hartree per atom


Record 18
Material: Sm2Y3Tm7
Method: DFT, PBE-GGA
State: relaxed

a = 6.2881 Å, b = 3.4997 Å, c = 17.3032 Å
α = 90.00°, β = 96.21°, γ = 90.00°
Fractional coordinates of all 12 atoms:
Sm: 0.0610 0.0000 0.1741
Sm: 0.9390 0.0000 0.8259
Y: 0.4498 0.5000 0.8425
Y: 0.5000 0.0000 0.5000
Y: 0.5502 0.5000 0.1575
Tm: 0.0000 0.5000 0.5000
Tm: 0.2246 0.0000 0.6657
Tm: 0.2553 0.0000 0.9991
Tm: 0.2742 0.5000 0.3360
Tm: 0.7258 0.5000 0.6640
Tm: 0.7447 0.0000 0.0009
Tm: 0.7754 0.0000 0.3342

Calculated values
Energy above the lowest structure with this stoichiometry   0.0 meV per atom
Density of states at the Fermi level   18.04 states/eV/cell
Symmetry   P2/m
ΔE_f   98 kJ/mol of formula units
Raw total energy   -0.1810 hartree per atom


Record 19
Material: Sm4Y4Tm5
Method: DFT, PBE-GGA
State: relaxed

a = 9.4165 Å, b = 9.4165 Å, c = 9.4165 Å
α = 94.08°, β = 94.08°, γ = 149.07°
Fractional coordinates of all 13 atoms:
Sm: 0.0778 0.6162 0.6940
Sm: 0.3838 0.0778 0.4616
Sm: 0.6162 0.9222 0.5384
Sm: 0.9222 0.3838 0.3060
Y: 0.1527 0.2288 0.3815
Y: 0.2288 0.8473 0.0761
Y: 0.7712 0.1527 0.9239
Y: 0.8473 0.7712 0.6185
Tm: 0.0000 0.0000 0.0000
Tm: 0.3104 0.4619 0.7722
Tm: 0.4619 0.6896 0.1515
Tm: 0.5381 0.3104 0.8485
Tm: 0.6896 0.5381 0.2278

Calculated values
Density of states at the Fermi level   18.99 states/eV/cell
Symmetry   I4/m
ΔE_f   29 kJ/mol of formula units
Raw total energy   -0.1888 hartree per atom